Entry from Alexandria: Al2CuNi2 at its PBEsol-relaxed geometry (SCAN).

formation energy: -0.51 eV/atom
E_tot: -13.12 eV/atom
SG: C2/c (15)
crystal system: monoclinic

Cell and atoms, written as POSCAR:
```
Al2CuNi2
1.0
4.460 0.000 0.000
-2.230 4.358 -0.007
0.000 -2.412 6.069
Al Cu Ni
4 2 4
Direct
0.163 0.638 0.353
0.524 0.362 0.147
0.837 0.362 0.647
0.476 0.638 0.853
0.686 0.000 0.250
0.314 0.000 0.750
0.954 0.217 0.958
0.737 0.783 0.542
0.046 0.783 0.042
0.263 0.217 0.458
```